Record 1
This record from Alexandria describes crystalline Hf2InTeO at its relaxed geometry. The functional is GGA-PBEsol.

Lattice parameters (Å, degrees): 5.185 5.185 5.475 90.00 90.00 90.00
Each line ends with the local moment (μB).
Positions (direct):
Hf 0.500 0.000 0.000  0.02
Te 0.000 0.000 0.000  0.00
O 0.500 0.500 0.500  0.28
In 0.000 0.000 0.500  0.00
Hf 0.000 0.500 0.000  0.02

Calculated values
- total magnetic moment (μB/f.u.) = 0.3
- space-group type = No. 123
- raw formation energy (eV/atom) = 1.520
- total DFT energy (no corrections) (eV for the cell shown) = -25.16



Record 2
This record from Alexandria describes crystalline MnAlNi2 at its relaxed geometry. The functional is GGA-PBEsol.

Lattice parameters (Å, degrees): 3.537 3.537 4.472 113.30 113.30 90.00
Each line ends with the local moment (μB).
Positions (direct):
Ni 0.000 0.000 0.000  0.38
Ni 0.750 0.250 0.500  0.43
Mn 0.250 0.750 0.500  3.11
Al 0.500 0.500 0.000  -0.03

Calculated values
- total magnetic moment (μB/f.u.) = 3.9
- space-group type = No. 119
- E_form (eV/atom) = -0.2924
- total DFT energy (no corrections) (eV for the cell shown) = -27.34



Record 3
This record from Alexandria describes crystalline Ag2OsPt at its relaxed geometry. The functional is GGA-PBEsol.

Lattice parameters (Å, degrees): 2.740 2.740 8.220 90.00 90.00 90.00
Positions (direct):
Pt 0.500 0.500 0.734
Ag 0.000 0.000 0.995
Os 0.000 0.000 0.513
Ag 0.500 0.500 0.258

Calculated values
- total magnetic moment (μB/f.u.) = 0.0
- space-group type = No. 99
- E_form (eV/atom) = 0.2480
- total DFT energy (no corrections) (eV for the cell shown) = -24.81



Record 4
This record from Alexandria describes crystalline ZrGaTeOs2 at its relaxed geometry. The functional is GGA-PBEsol.

Lattice parameters (Å, degrees): 4.740 4.740 4.968 90.00 90.00 90.00
Positions (direct):
Te 0.000 0.000 0.000
Ga 0.000 0.000 0.500
Os 0.000 0.500 0.000
Os 0.500 0.000 0.000
Zr 0.500 0.500 0.500

Calculated values
- total magnetic moment (μB/f.u.) = 0.0
- space-group type = No. 123
- raw formation energy (eV/atom) = 1.684
- total DFT energy (no corrections) (eV for the cell shown) = -31.97



Record 5
This record from Alexandria describes crystalline CaAsBr2F at its relaxed geometry. The functional is GGA-PBEsol.

Lattice parameters (Å, degrees): 5.350 5.350 6.878 90.00 90.00 90.00
Each line ends with the local moment (μB).
Positions (direct):
Ca 0.000 0.000 0.000  0.02
Br 0.500 0.000 0.000  0.04
F 0.500 0.500 0.500  -0.38
Br 0.000 0.500 0.000  0.04
As 0.000 0.000 0.500  1.11

Calculated values
- total magnetic moment (μB/f.u.) = 2.2
- space-group type = No. 123
- raw formation energy (eV/atom) = -0.303
- total DFT energy (no corrections) (eV for the cell shown) = -14.42



Record 6
This record from Alexandria describes crystalline BePdC3 at its relaxed geometry. The functional is GGA-PBEsol.

Lattice parameters (Å, degrees): 3.557 3.557 3.557 90.00 90.00 90.00
Positions (direct):
C 0.500 0.000 0.000
Be 0.000 0.000 0.000
C 0.000 0.000 0.500
Pd 0.500 0.500 0.500
C 0.000 0.500 0.000

Calculated values
- total magnetic moment (μB/f.u.) = 0.0
- space-group type = No. 221
- E_form (eV/atom) = 2.2742
- total DFT energy (no corrections) (eV for the cell shown) = -27.52



Question: Which of these has the highest total magnetic moment?
Answer: MnAlNi2